A plane-wave DFT calculation with PBE was carried out for an optimized crystal structure of ErGa6Co2. Values from VASP.

Quantum ESPRESSO input file:
```
&SYSTEM
  ibrav = 0, nat = 18, ntyp = 3
/
ATOMIC_SPECIES
Er 167.26 Er.upf
Ga 69.72 Ga.upf
Co 58.93 Co.upf
ATOMIC_POSITIONS crystal
Er 0.1250 0.1250 0.1250
Er 0.8750 0.8750 0.8750
Ga 0.1462 0.1462 0.6038
Ga 0.1462 0.6038 0.1462
Ga 0.1462 0.6038 0.6038
Ga 0.3962 0.3962 0.8538
Ga 0.3962 0.8538 0.3962
Ga 0.3962 0.8538 0.8538
Ga 0.6038 0.1462 0.1462
Ga 0.6038 0.1462 0.6038
Ga 0.6038 0.6038 0.1462
Ga 0.8538 0.3962 0.3962
Ga 0.8538 0.3962 0.8538
Ga 0.8538 0.8538 0.3962
Co 0.0000 0.5000 0.5000
Co 0.5000 0.0000 0.5000
Co 0.5000 0.5000 0.0000
Co 0.5000 0.5000 0.5000
CELL_PARAMETERS angstrom
0.0000 5.6909 5.6909
5.6909 0.0000 5.6909
5.6909 5.6909 0.0000
```

Computed properties:
**Energy**: -35.82 eV per formula unit
**Formation energy**: 0.124 eV/atom
**Volume**: 368.6 Å³/cell
**Symmetry**: No. 227
**D(E_F)**: 8.7 states/eV/f.u.